Below is crystalline La3Pb at its relaxed geometry, with properties calculated at the PBEsol level.

Structure (POSCAR):
```
La3Pb
1.0
6.9242 0.0000 0.0000
0.0000 17.2552 0.0000
0.0000 0.0000 6.2011
La Pb
18 6
Direct
0.0008 0.2500 0.0263
0.0020 0.0823 0.3434
0.0020 0.4177 0.3434
0.2500 0.0845 0.8385
0.2500 0.4155 0.8385
0.2500 0.7500 0.4356
0.4980 0.0823 0.3434
0.4980 0.4177 0.3434
0.4992 0.2500 0.0263
0.5008 0.7500 0.9737
0.5020 0.5823 0.6566
0.5020 0.9177 0.6566
0.7500 0.2500 0.5644
0.7500 0.5845 0.1615
0.7500 0.9155 0.1615
0.9980 0.5823 0.6566
0.9980 0.9177 0.6566
0.9992 0.7500 0.9737
0.2500 0.2500 0.5189
0.2500 0.5817 0.1532
0.2500 0.9183 0.1532
0.7500 0.0817 0.8468
0.7500 0.4183 0.8468
0.7500 0.7500 0.4811
```



Below is crystalline La2Pd2Pb at its relaxed geometry, with properties calculated at the PBEsol level.

Structure (POSCAR):
```
La2Pd2Pb
1.0
7.9116 0.0000 0.0000
0.0000 7.9116 0.0000
0.0000 0.0000 3.8679
La Pd Pb
4 4 2
Direct
0.1774 0.3226 0.0000
0.3226 0.8226 0.0000
0.6774 0.1774 0.0000
0.8226 0.6774 0.0000
0.1246 0.6246 0.5000
0.3754 0.1246 0.5000
0.6246 0.8754 0.5000
0.8754 0.3754 0.5000
0.0000 0.0000 0.5000
0.5000 0.5000 0.5000
```



Below is crystalline LaPtPb2 at its relaxed geometry, with properties calculated at the PBEsol level.

Structure (POSCAR):
```
LaPtPb2
1.0
2.3080 1.3325 5.4863
-2.3080 1.3325 5.4863
0.0000 -2.6650 5.4863
La Pt Pb
1 1 2
Direct
0.0000 0.0000 0.0000
0.5000 0.5000 0.5000
0.2269 0.2269 0.2269
0.7731 0.7731 0.7731
```



| no. | VASP energy (eV/cell) |
| --- | --- |
| 1 | -129.06 |
| 2 | -61.46 |
| 3 | -22.32 |